Entry P
{"formula": "CaAs2IrBr", "functional": "PBE", "state": "optimized geometry", "lattice_angstrom": [[4.778, 0.000, 0.000], [0.000, 4.778, 0.000], [0.000, 0.000, 5.644]], "species": ["As", "Br", "As", "Ir", "Ca"], "frac_coords": [[0.500, 0.000, 0.000], [0.000, 0.000, 0.500], [0.000, 0.500, 0.000], [0.000, 0.000, 0.000], [0.500, 0.500, 0.500]], "spacegroup": "No. 123", "dos_at_fermi_per_ev_cell": 3.60, "volume_a3_per_cell": 129}

=====

Entry Q
{"formula": "CaAs2IrBr", "functional": "PBE", "state": "optimized geometry", "lattice_angstrom": [[5.421, 0.000, 0.000], [0.000, 5.421, 0.000], [0.000, 0.000, 5.218]], "species": ["As", "Ir", "As", "Br", "Ca"], "frac_coords": [[0.000, 0.500, 0.000], [0.500, 0.500, 0.500], [0.500, 0.000, 0.000], [0.000, 0.000, 0.500], [0.000, 0.000, 0.000]], "spacegroup": "No. 123", "dos_at_fermi_per_ev_cell": 7.82, "volume_a3_per_cell": 153}

=====

Which one sits at the bottom of the stability order? entry Q does.

=====

Entry P
{"formula": "KCaAs2Br", "functional": "PBE", "state": "optimized geometry", "lattice_angstrom": [[-5.137, 0.610, 2.298], [-1.008, -5.514, -0.789], [2.206, -1.152, 5.239]], "species": ["As", "K", "Br", "Ca", "As"], "frac_coords": [[0.500, 0.000, 0.000], [0.500, 0.500, 0.500], [0.000, 0.000, 0.500], [0.000, 0.000, 0.000], [0.000, 0.500, 0.000]], "spacegroup": "No. 123", "dos_at_fermi_per_ev_cell": 2.01, "volume_a3_per_cell": 186}

=====

Entry Q
{"formula": "KCaAs2Br", "functional": "PBE", "state": "optimized geometry", "lattice_angstrom": [[-4.059, -1.829, 3.225], [-2.934, -1.338, -4.452], [2.368, -5.234, 0.013]], "species": ["K", "Br", "As", "Ca", "As"], "frac_coords": [[0.000, 0.000, 0.000], [0.000, 0.000, 0.500], [0.500, 0.000, 0.000], [0.500, 0.500, 0.500], [0.000, 0.500, 0.000]], "spacegroup": "No. 123", "dos_at_fermi_per_ev_cell": 4.96, "volume_a3_per_cell": 174}

=====

Entry R
{"formula": "KCaAs2Br", "functional": "PBE", "state": "optimized geometry", "lattice_angstrom": [[-4.546, -2.772, 0.896], [2.645, -7.565, -9.990], [2.691, -3.362, 3.258]], "species": ["As", "Ca", "Br", "K", "As"], "frac_coords": [[0.000, 0.000, 0.500], [0.000, 0.000, 0.000], [0.500, 0.500, 0.500], [0.000, 0.500, 0.000], [0.500, 0.000, 0.000]], "spacegroup": "No. 123", "dos_at_fermi_per_ev_cell": 3.96, "volume_a3_per_cell": 373}

=====

Which one sits at the bottom of the stability order? entry Q does.

=====

Entry P
{"formula": "LiCaAsBr2", "functional": "PBE", "state": "optimized geometry", "lattice_angstrom": [[-1.032, 1.988, 5.210], [3.306, -4.049, 2.200], [4.655, 3.562, -0.437]], "species": ["Li", "Ca", "As", "Br", "Br"], "frac_coords": [[0.500, 0.500, 0.500], [0.000, 0.000, 0.000], [0.000, 0.000, 0.500], [0.000, 0.500, 0.000], [0.500, 0.000, 0.000]], "spacegroup": "No. 123", "dos_at_fermi_per_ev_cell": 1.24, "volume_a3_per_cell": 189}

=====

Entry Q
{"formula": "LiCaAsBr2", "functional": "PBE", "state": "optimized geometry", "lattice_angstrom": [[4.961, 0.000, 0.000], [0.000, 4.961, 0.000], [0.000, 0.000, 5.168]], "species": ["Ca", "As", "Li", "Br", "Br"], "frac_coords": [[0.500, 0.500, 0.500], [0.000, 0.000, 0.500], [0.000, 0.000, 0.000], [0.500, 0.000, 0.000], [0.000, 0.500, 0.000]], "spacegroup": "No. 123", "dos_at_fermi_per_ev_cell": 3.72, "volume_a3_per_cell": 127}

=====

Which one sits at the bottom of the stability order? entry P does.

=====

Entry P
{"formula": "CaMgAsBr2", "functional": "PBE", "state": "optimized geometry", "lattice_angstrom": [[-4.179, -2.869, -0.908], [2.571, -2.597, -3.628], [1.632, -3.548, 3.697]], "species": ["Br", "Br", "Ca", "As", "Mg"], "frac_coords": [[0.000, 0.500, 0.000], [0.500, 0.000, 0.000], [0.500, 0.500, 0.500], [0.000, 0.000, 0.500], [0.000, 0.000, 0.000]], "spacegroup": "No. 123", "dos_at_fermi_per_ev_cell": 3.19, "volume_a3_per_cell": 143}

=====

Entry Q
{"formula": "CaMgAsBr2", "functional": "PBE", "state": "optimized geometry", "lattice_angstrom": [[5.443, 0.000, 0.000], [0.000, 5.443, 0.000], [0.000, 0.000, 6.029]], "species": ["Ca", "Br", "Mg", "As", "Br"], "frac_coords": [[0.000, 0.000, 0.000], [0.000, 0.500, 0.000], [0.500, 0.500, 0.500], [0.000, 0.000, 0.500], [0.500, 0.000, 0.000]], "spacegroup": "No. 123", "dos_at_fermi_per_ev_cell": 2.45, "volume_a3_per_cell": 179}

=====

Which one sits at the bottom of the stability order? entry Q does.

=====

Entry P
{"formula": "CaMoAs2Br", "functional": "PBE", "state": "optimized geometry", "lattice_angstrom": [[-2.969, 4.313, 1.493], [-2.198, -2.912, 4.042], [3.911, 1.566, 3.255]], "species": ["Mo", "As", "Br", "Ca", "As"], "frac_coords": [[0.500, 0.500, 0.500], [0.500, 0.000, 0.000], [0.000, 0.000, 0.500], [0.000, 0.000, 0.000], [0.000, 0.500, 0.000]], "spacegroup": "No. 123", "dos_at_fermi_per_ev_cell": 5.44, "volume_a3_per_cell": 158}

=====

Entry Q
{"formula": "CaMoAs2Br", "functional": "PBE", "state": "optimized geometry", "lattice_angstrom": [[-3.704, -3.097, 0.402], [2.408, -2.435, 3.427], [-2.266, 3.213, 3.876]], "species": ["Ca", "Br", "As", "Mo", "As"], "frac_coords": [[0.500, 0.500, 0.500], [0.000, 0.000, 0.500], [0.500, 0.000, 0.000], [0.000, 0.000, 0.000], [0.000, 0.500, 0.000]], "spacegroup": "No. 123", "dos_at_fermi_per_ev_cell": 3.49, "volume_a3_per_cell": 130}

=====

Which one sits at the bottom of the stability order? entry P does.

=====

Entry P
{"formula": "NaCaAs2Br", "functional": "PBE", "state": "optimized geometry", "lattice_angstrom": [[-2.674, 0.378, -4.271], [-2.549, -4.188, 1.226], [-3.773, 3.068, 2.634]], "species": ["Na", "Br", "As", "As", "Ca"], "frac_coords": [[0.000, 0.000, 0.000], [0.000, 0.000, 0.500], [0.500, 0.000, 0.000], [0.000, 0.500, 0.000], [0.500, 0.500, 0.500]], "spacegroup": "No. 123", "dos_at_fermi_per_ev_cell": 4.49, "volume_a3_per_cell": 141}

=====

Entry Q
{"formula": "NaCaAs2Br", "functional": "PBE", "state": "optimized geometry", "lattice_angstrom": [[5.629, 0.000, 0.000], [0.000, 5.629, 0.000], [0.000, 0.000, 5.699]], "species": ["Na", "As", "Br", "Ca", "As"], "frac_coords": [[0.500, 0.500, 0.500], [0.500, 0.000, 0.000], [0.000, 0.000, 0.500], [0.000, 0.000, 0.000], [0.000, 0.500, 0.000]], "spacegroup": "No. 123", "dos_at_fermi_per_ev_cell": 2.26, "volume_a3_per_cell": 181}

=====

Which one sits at the bottom of the stability order? entry P does.

=====

Entry P
{"formula": "CaNiAsBr2", "functional": "PBE", "state": "optimized geometry", "lattice_angstrom": [[5.025, 0.000, 0.000], [0.000, 5.025, 0.000], [0.000, 0.000, 4.742]], "species": ["Ca", "Ni", "As", "Br", "Br"], "frac_coords": [[0.500, 0.500, 0.500], [0.000, 0.000, 0.000], [0.000, 0.000, 0.500], [0.000, 0.500, 0.000], [0.500, 0.000, 0.000]], "spacegroup": "No. 123", "dos_at_fermi_per_ev_cell": 3.61, "volume_a3_per_cell": 120}

=====

Entry Q
{"formula": "CaNiAsBr2", "functional": "PBE", "state": "optimized geometry", "lattice_angstrom": [[-0.143, -4.517, -3.083], [5.221, 0.806, -1.423], [1.781, -3.256, 4.687]], "species": ["Br", "As", "Br", "Ca", "Ni"], "frac_coords": [[0.500, 0.000, 0.000], [0.000, 0.000, 0.500], [0.000, 0.500, 0.000], [0.000, 0.000, 0.000], [0.500, 0.500, 0.500]], "spacegroup": "No. 123", "dos_at_fermi_per_ev_cell": 6.52, "volume_a3_per_cell": 179}

=====

Which one sits at the bottom of the stability order? entry Q does.

=====

Entry P
{"formula": "CaAsBr2O", "functional": "PBE", "state": "optimized geometry", "lattice_angstrom": [[-1.367, -4.624, -0.526], [3.016, -0.463, -3.771], [3.277, -1.284, 2.778]], "species": ["Ca", "As", "Br", "O", "Br"], "frac_coords": [[0.500, 0.500, 0.500], [0.000, 0.000, 0.500], [0.500, 0.000, 0.000], [0.000, 0.000, 0.000], [0.000, 0.500, 0.000]], "spacegroup": "No. 123", "dos_at_fermi_per_ev_cell": 1.33, "volume_a3_per_cell": 105}

=====

Entry Q
{"formula": "CaAsBr2O", "functional": "PBE", "state": "optimized geometry", "lattice_angstrom": [[5.061, 0.000, 0.000], [0.000, 5.955, 0.000], [0.000, 0.000, 5.061]], "species": ["As", "Br", "Br", "Ca", "O"], "frac_coords": [[0.000, 0.000, 0.000], [0.000, 0.000, 0.500], [0.500, 0.000, 0.000], [0.000, 0.500, 0.000], [0.500, 0.500, 0.500]], "spacegroup": "No. 123", "dos_at_fermi_per_ev_cell": 29.58, "volume_a3_per_cell": 153}

=====

Entry R
{"formula": "CaAsBr2O", "functional": "PBE", "state": "optimized geometry", "lattice_angstrom": [[-1.844, 5.084, 1.351], [-1.066, -1.763, 5.179], [6.186, 1.747, 1.867]], "species": ["O", "Ca", "As", "Br", "Br"], "frac_coords": [[0.500, 0.500, 0.500], [0.000, 0.000, 0.000], [0.000, 0.000, 0.500], [0.000, 0.500, 0.000], [0.500, 0.000, 0.000]], "spacegroup": "No. 123", "dos_at_fermi_per_ev_cell": 12.77, "volume_a3_per_cell": 208}

=====

Which one sits at the bottom of the stability order? entry R does.

=====

Entry P
{"formula": "CaAsOsBr2", "functional": "PBE", "state": "optimized geometry", "lattice_angstrom": [[5.324, 0.000, 0.000], [0.000, 5.324, 0.000], [0.000, 0.000, 4.669]], "species": ["Br", "As", "Br", "Ca", "Os"], "frac_coords": [[0.000, 0.500, 0.000], [0.000, 0.000, 0.500], [0.500, 0.000, 0.000], [0.500, 0.500, 0.500], [0.000, 0.000, 0.000]], "spacegroup": "No. 123", "dos_at_fermi_per_ev_cell": 2.57, "volume_a3_per_cell": 132}

=====

Entry Q
{"formula": "CaAsOsBr2", "functional": "PBE", "state": "optimized geometry", "lattice_angstrom": [[-3.841, 0.078, -3.718], [0.204, -5.332, -0.323], [-4.186, -0.422, 4.315]], "species": ["Br", "Os", "Br", "Ca", "As"], "frac_coords": [[0.000, 0.500, 0.000], [0.500, 0.500, 0.500], [0.500, 0.000, 0.000], [0.000, 0.000, 0.000], [0.000, 0.000, 0.500]], "spacegroup": "No. 123", "dos_at_fermi_per_ev_cell": 6.71, "volume_a3_per_cell": 172}

=====

Which one sits at the bottom of the stability order? entry Q does.

=====

Entry P
{"formula": "CaAs2PBr", "functional": "PBE", "state": "optimized geometry", "lattice_angstrom": [[5.684, 0.000, 0.000], [0.000, 5.684, 0.000], [0.000, 0.000, 5.327]], "species": ["P", "As", "Ca", "As", "Br"], "frac_coords": [[0.500, 0.500, 0.500], [0.500, 0.000, 0.000], [0.000, 0.000, 0.000], [0.000, 0.500, 0.000], [0.000, 0.000, 0.500]], "spacegroup": "No. 123", "dos_at_fermi_per_ev_cell": 4.91, "volume_a3_per_cell": 172}

=====

Entry Q
{"formula": "CaAs2PBr", "functional": "PBE", "state": "optimized geometry", "lattice_angstrom": [[-2.409, 3.761, 1.588], [-0.405, -2.055, 4.252], [4.763, 2.374, 1.600]], "species": ["As", "Br", "P", "Ca", "As"], "frac_coords": [[0.500, 0.000, 0.000], [0.000, 0.000, 0.500], [0.000, 0.000, 0.000], [0.500, 0.500, 0.500], [0.000, 0.500, 0.000]], "spacegroup": "No. 123", "dos_at_fermi_per_ev_cell": 1.81, "volume_a3_per_cell": 125}

=====

Which one sits at the bottom of the stability order? entry P does.

=====

Entry P
{"formula": "CaAsPBr2", "functional": "PBE", "state": "optimized geometry", "lattice_angstrom": [[5.122, 0.000, 0.000], [0.000, 5.122, 0.000], [0.000, 0.000, 4.995]], "species": ["P", "As", "Br", "Ca", "Br"], "frac_coords": [[0.000, 0.000, 0.000], [0.000, 0.000, 0.500], [0.500, 0.000, 0.000], [0.500, 0.500, 0.500], [0.000, 0.500, 0.000]], "spacegroup": "No. 123", "dos_at_fermi_per_ev_cell": 1.78, "volume_a3_per_cell": 131}

=====

Entry Q
{"formula": "CaAsPBr2", "functional": "PBE", "state": "optimized geometry", "lattice_angstrom": [[-1.811, -1.675, -4.802], [-1.240, -4.798, 2.141], [-6.452, 2.382, 1.602]], "species": ["As", "Br", "P", "Br", "Ca"], "frac_coords": [[0.000, 0.000, 0.500], [0.500, 0.000, 0.000], [0.500, 0.500, 0.500], [0.000, 0.500, 0.000], [0.000, 0.000, 0.000]], "spacegroup": "No. 123", "volume_a3_per_cell": 206}

=====

Which one sits at the bottom of the stability order? entry Q does.

=====

Entry P
{"formula": "CaAsPbBr2", "functional": "PBE", "state": "optimized geometry", "lattice_angstrom": [[5.687, 0.000, 0.000], [0.000, 5.687, 0.000], [0.000, 0.000, 5.525]], "species": ["Ca", "Br", "Pb", "As", "Br"], "frac_coords": [[0.500, 0.500, 0.500], [0.500, 0.000, 0.000], [0.000, 0.000, 0.000], [0.000, 0.000, 0.500], [0.000, 0.500, 0.000]], "spacegroup": "No. 123", "dos_at_fermi_per_ev_cell": 2.51, "volume_a3_per_cell": 179}

=====

Entry Q
{"formula": "CaAsPbBr2", "functional": "PBE", "state": "optimized geometry", "lattice_angstrom": [[5.375, 0.000, 0.000], [0.000, 5.375, 0.000], [0.000, 0.000, 5.983]], "species": ["Ca", "As", "Pb", "Br", "Br"], "frac_coords": [[0.000, 0.000, 0.000], [0.000, 0.000, 0.500], [0.500, 0.500, 0.500], [0.000, 0.500, 0.000], [0.500, 0.000, 0.000]], "spacegroup": "No. 123", "dos_at_fermi_per_ev_cell": 3.67, "volume_a3_per_cell": 173}

=====

Which one sits at the bottom of the stability order? entry P does.